(1)
## Sc2BiAsPt2 (GGA-PBE)

Data for a geometry-optimized Sc2BiAsPt2 structure.

## Properties
The volume is 21.4 Å³/atom. The value obtained for the calculated density is 9.89 g/cm3. The value obtained for the magnetic moment is 0.005 μB per cell. The value obtained for the total energy is -6.59 eV/atom.

Cell: 10.999 4.490 11.022 Å, 90.00 109.50 90.00°
Fractional coordinates of all 24 atoms:
Sc1 0.000 0.000 0.000
Sc2 0.114 0.500 0.373
Sc3 0.236 0.000 0.740
Sc4 0.375 0.500 0.137
Sc5 0.498 0.000 0.499
Sc6 0.623 0.500 0.865
Sc7 0.745 0.000 0.258
Sc8 0.865 0.500 0.619
Bi1 0.118 0.500 0.874
Bi2 0.367 0.500 0.619
Bi3 0.497 0.000 0.001
Bi4 0.869 0.500 0.124
As1 0.246 0.000 0.252
As2 0.620 0.500 0.377
As3 0.745 0.000 0.744
As4 0.991 0.000 0.497
Pt1 0.131 0.500 0.135
Pt2 0.232 0.000 0.487
Pt3 0.369 0.500 0.872
Pt4 0.498 0.000 0.261
Pt5 0.625 0.500 0.620
Pt6 0.747 0.000 0.985
Pt7 0.866 0.500 0.380
Pt8 0.983 0.000 0.738

(2)
## MgBeZnSn (GGA-PBE)

Data for a geometry-optimized MgBeZnSn structure.

## Properties
The volume is 18.3 Å³/atom. The value obtained for the calculated density is 4.94 g/cm3. The calculation puts the energy relative to the lowest polymorph listed for this composition at 0.0 kJ per mole of atoms.

Cell: 4.692 4.692 4.692 Å, 60.00 60.00 60.00°
Fractional coordinates of all 4 atoms:
Mg1 0.000 0.000 0.000
Be1 0.750 0.750 0.750
Zn1 0.250 0.250 0.250
Sn1 0.500 0.500 0.500